(1)
NbSnBi2Ir PBE optimized geometry; Fermi-level density of states = 0.820 states/eV per atom; energy of formation = 0.9401 eV/atom; space-group type = No. 123
1.0
5.407 0.000 0.000
0.000 5.023 0.000
0.000 0.000 5.407
Bi Nb Sn Ir
2 1 1 1
direct
0.000 0.000 0.500
0.500 0.000 0.000
0.500 0.500 0.500
0.000 0.500 0.000
0.000 0.000 0.000

***

(2)
Nd8Bi2Ir PBE optimized geometry; Fermi-level density of states = 1.118 states/eV per atom; energy of formation = -0.4385 eV/atom; space-group type = No. 12
1.0
4.767 0.000 0.000
0.000 7.695 0.678
-2.384 -2.290 9.551
Nd Ir Bi
8 1 2
direct
0.643 0.035 0.285
0.594 0.510 0.188
0.214 0.352 0.429
0.357 0.965 0.715
0.004 0.780 0.008
0.996 0.220 0.992
0.406 0.490 0.812
0.786 0.648 0.571
0.500 0.000 0.000
0.817 0.228 0.635
0.183 0.772 0.365

***

(3)
Nd3Bi2Ir PBE optimized geometry; Fermi-level density of states = 0.238 states/eV per atom; energy of formation = -0.6723 eV/atom; space-group type = No. 15
1.0
6.469 0.000 0.000
0.000 8.738 0.005
-3.234 -2.184 6.745
Ir Bi Nd
2 4 6
direct
0.032 0.750 0.000
0.968 0.250 0.000
0.670 0.586 0.343
0.673 0.086 0.343
0.330 0.414 0.657
0.327 0.914 0.657
0.404 0.250 0.000
0.145 0.573 0.293
0.596 0.750 0.000
0.855 0.427 0.707
0.852 0.927 0.707
0.148 0.073 0.293

***

- Fermi-level density of states of number 3 (Nd3Bi2Ir)?
  0.238 states/eV per atom

***

- Which of these has the lowest energy of formation?
  Nd3Bi2Ir

***

- The highest Fermi-level density of states belongs to which entry?
  Nd8Bi2Ir